Entry 1:
# CsNpPb2Br8

Crystalline CsNpPb2Br8 at its relaxed geometry (GGA-PBE, Alexandria via LeMat-Bulk).

Properties
Crystal system: triclinic
ΔE_f (raw): -113 kJ/mol of atoms
Symmetry: P-1

The structure in POSCAR format:
```
CsNpPb2Br8
1.0
7.285 0.037 0.007
0.088 7.079 0.006
0.022 0.029 9.558
Cs Np Pb Br
1 1 2 8
direct
0.000 0.000 0.500 Cs
0.000 0.000 0.000 Np
0.500 0.500 0.749 Pb
0.500 0.500 0.251 Pb
0.155 0.747 0.207 Br
0.677 0.756 0.000 Br
0.844 0.252 0.207 Br
0.845 0.253 0.793 Br
0.323 0.244 0.000 Br
0.156 0.748 0.793 Br
0.599 0.734 0.499 Br
0.401 0.266 0.501 Br
```

=====

Entry 2:
# LaPaPbAu

Crystalline LaPaPbAu at its relaxed geometry (GGA-PBE, Alexandria via LeMat-Bulk).

Properties
Crystal system: cubic
E_form: -0.20 eV/atom
Symmetry: F-43m

The structure in POSCAR format:
```
LaPaPbAu
1.0
5.414 0.000 0.000
2.707 4.689 0.000
2.707 1.563 4.421
Pb Pa Au La
1 1 1 1
direct
0.500 0.500 0.500 Pb
0.250 0.250 0.250 Pa
0.000 0.000 0.000 Au
0.750 0.750 0.750 La
```

=====

Short version: DOS(E_F) = 4.46, 8.58 states/eV per cell, in the order given.
Short version: VASP energy = -48.64, -22.19 eV per cell, in the order given.